VASP calculation (GGA+U) on a geometry-optimized KThVO5 structure.

Output
Total magnetization = 0.00 μB per formula unit
Total DFT energy (no corrections) = -7.76 eV/atom

Cell: 7.7406 10.0526 8.2600 Å, 90.00 114.14 90.00°
Space group C2/c (No. 15)
Inequivalent atoms, fractional coordinates:
K1 0.0000 0.1675 0.2500 (multiplicity 4)
Th1 0.0000 0.5000 0.0000 (multiplicity 4)
V1 0.0000 0.1802 0.7500 (multiplicity 4)
O1 0.0000 0.4273 0.2500 (multiplicity 4)
O2 0.0854 0.2816 0.6256 (multiplicity 8)
O3 0.1781 0.0756 0.8902 (multiplicity 8)